The following is a DFT calculation (PBE with a Hubbard U) of CrFe2O after structural relaxation.

Output
Space-group type   No. 122
DFT total energy   -5.332 eV/atom
Spin magnetization   6.1 μB/f.u.

Lattice parameters (Å, degrees): 5.987 5.987 5.674 58.16 58.16 90.00
Each line ends with the local moment (μB).
Element x y z (fractional)
Cr 0.000 0.000 0.000  -0.93
Cr 0.750 0.250 0.500  -0.92
Fe 0.522 0.125 0.250  3.63
Fe 0.228 0.625 0.250  3.61
Fe 0.375 0.478 0.750  3.61
Fe 0.875 0.772 0.750  3.63
O 0.500 0.500 0.000  0.05
O 0.250 0.750 0.500  0.05